# Pm3Sm8Tl4 PBE optimized geometry
# E: -4.03 eV per atom
# calculated formation energy: 0.068 eV per atom
# mass density: 8.2 g cm⁻³
data_Pm3Sm8Tl4
_chemical_formula_sum 'Pm6 Sm16 Tl8'
_space_group_name_H-M_alt 'C 1 2/m 1'
_space_group_IT_number 12
_cell_length_a 13.487
_cell_length_b 12.569
_cell_length_c 6.665
_cell_angle_alpha 90.00
_cell_angle_beta 118.44
_cell_angle_gamma 90.00
loop_
_space_group_symop_operation_xyz
'x,y,z'
'-x,-y,-z'
'-x,y,-z'
'x,-y,z'
'x+1/2,y+1/2,z'
'-x+1/2,-y+1/2,-z'
'-x+1/2,y+1/2,-z'
'x+1/2,-y+1/2,z'
loop_
_atom_site_label
_atom_site_fract_x
_atom_site_fract_y
_atom_site_fract_z
Pm1 0.000 0.000 0.000
Pm2 0.250 0.250 0.500
Sm1 0.000 0.256 0.500
Sm2 0.000 0.260 0.000
Sm3 0.150 0.500 0.538
Sm4 0.248 0.000 0.876
Tl1 0.000 0.000 0.500
Tl2 0.000 0.500 0.000
Tl3 0.250 0.250 0.000

# Pm6Sm5Tl PBE optimized geometry
# E: -4.56 eV per atom
# calculated formation energy: -0.022 eV per atom
# mass density: 7.7 g cm⁻³
data_Pm6Sm5Tl
_chemical_formula_sum 'Pm12 Sm10 Tl2'
_space_group_name_H-M_alt 'C 1 2/m 1'
_space_group_IT_number 12
_cell_length_a 6.235
_cell_length_b 10.825
_cell_length_c 11.925
_cell_angle_alpha 90.00
_cell_angle_beta 100.19
_cell_angle_gamma 90.00
loop_
_space_group_symop_operation_xyz
'x,y,z'
'-x,-y,-z'
'-x,y,-z'
'x,-y,z'
'x+1/2,y+1/2,z'
'-x+1/2,-y+1/2,-z'
'-x+1/2,y+1/2,-z'
'x+1/2,-y+1/2,z'
loop_
_atom_site_label
_atom_site_fract_x
_atom_site_fract_y
_atom_site_fract_z
Pm1 0.244 0.000 0.251
Pm2 0.245 0.163 0.747
Sm1 0.000 0.168 0.000
Sm2 0.000 0.334 0.500
Sm3 0.000 0.500 0.000
Tl1 0.000 0.000 0.500

# Pm7Sm2Tl2 PBE optimized geometry
# E: -4.34 eV per atom
# calculated formation energy: -0.027 eV per atom
# mass density: 7.6 g cm⁻³
data_Pm7Sm2Tl2
_chemical_formula_sum 'Pm14 Sm4 Tl4'
_space_group_name_H-M_alt 'I m m 2'
_space_group_IT_number 44
_cell_length_a 3.707
_cell_length_b 20.358
_cell_length_c 9.937
_cell_angle_alpha 90.00
_cell_angle_beta 90.00
_cell_angle_gamma 90.00
loop_
_space_group_symop_operation_xyz
'x,y,z'
'-x,-y,z'
'-x,y,z'
'x,-y,z'
'x+1/2,y+1/2,z+1/2'
'-x+1/2,-y+1/2,z+1/2'
'-x+1/2,y+1/2,z+1/2'
'x+1/2,-y+1/2,z+1/2'
loop_
_atom_site_label
_atom_site_fract_x
_atom_site_fract_y
_atom_site_fract_z
Pm1 0.000 0.000 0.000
Pm2 0.000 0.129 0.468
Pm3 0.000 0.338 0.664
Pm4 0.000 0.364 0.293
Sm1 0.000 0.000 0.659
Sm2 0.000 0.500 0.816
Tl1 0.000 0.245 0.954

# PmSm12Tl3 PBE optimized geometry
# E: -4.42 eV per atom
# calculated formation energy: -0.136 eV per atom
# mass density: 8.5 g cm⁻³
data_PmSm12Tl3
_chemical_formula_sum 'Pm1 Sm12 Tl3'
_space_group_name_H-M_alt 'P 4/m m m'
_space_group_IT_number 123
_space_group_name_Hall '-P 4 2'
_cell_length_a 4.951
_cell_length_b 4.951
_cell_length_c 20.320
_cell_angle_alpha 90.00
_cell_angle_beta 90.00
_cell_angle_gamma 90.00
loop_
_atom_site_label
_atom_site_fract_x
_atom_site_fract_y
_atom_site_fract_z
Pm1 0.000 0.000 0.000
Sm1 0.000 0.500 0.132
Sm2 0.000 0.500 0.378
Sm3 0.500 0.500 0.000
Sm4 0.500 0.500 0.256
Sm5 0.500 0.500 0.500
Tl1 0.000 0.000 0.257
Tl2 0.000 0.000 0.500

# PmSm3Tl4 PBE optimized geometry
# E: -3.93 eV per atom
# calculated formation energy: -0.385 eV per atom
# E above lowest polymorph: 0 meV per atom
# mass density: 10.1 g cm⁻³
data_PmSm3Tl4
_chemical_formula_sum 'Pm1 Sm3 Tl4'
_space_group_name_H-M_alt 'P 4/m m m'
_space_group_IT_number 123
_space_group_name_Hall '-P 4 2'
_cell_length_a 3.868
_cell_length_b 3.868
_cell_length_c 15.477
_cell_angle_alpha 90.00
_cell_angle_beta 90.00
_cell_angle_gamma 90.00
loop_
_atom_site_label
_atom_site_fract_x
_atom_site_fract_y
_atom_site_fract_z
Pm1 0.000 0.000 0.000
Sm1 0.000 0.000 0.251
Sm2 0.000 0.000 0.500
Tl1 0.500 0.500 0.126
Tl2 0.500 0.500 0.376

# Pm5Sm4Tl2 PBE optimized geometry
# E: -4.32 eV per atom
# calculated formation energy: -0.019 eV per atom
# mass density: 8.0 g cm⁻³
data_Pm5Sm4Tl2
_chemical_formula_sum 'Pm5 Sm4 Tl2'
_space_group_name_H-M_alt 'P 1 2/m 1'
_space_group_IT_number 10
_cell_length_a 8.762
_cell_length_b 3.581
_cell_length_c 11.464
_cell_angle_alpha 90.00
_cell_angle_beta 94.58
_cell_angle_gamma 90.00
loop_
_space_group_symop_operation_xyz
'x,y,z'
'-x,-y,-z'
'-x,y,-z'
'x,-y,z'
loop_
_atom_site_label
_atom_site_fract_x
_atom_site_fract_y
_atom_site_fract_z
Pm1 0.000 0.000 0.000
Pm2 0.059 0.000 0.301
Pm3 0.298 0.000 0.832
Sm1 0.234 0.500 0.547
Sm2 0.352 0.500 0.116
Tl1 0.438 0.000 0.361

# PmSmTl2 PBE optimized geometry
# E: -3.94 eV per atom
# calculated formation energy: -0.387 eV per atom
# mass density: 10.1 g cm⁻³
data_PmSmTl2
_chemical_formula_sum 'Pm1 Sm1 Tl2'
_space_group_name_H-M_alt 'P 4/m m m'
_space_group_IT_number 123
_space_group_name_Hall '-P 4 2'
_cell_length_a 3.875
_cell_length_b 3.875
_cell_length_c 7.735
_cell_angle_alpha 90.00
_cell_angle_beta 90.00
_cell_angle_gamma 90.00
loop_
_atom_site_label
_atom_site_fract_x
_atom_site_fract_y
_atom_site_fract_z
Pm1 0.000 0.000 0.000
Sm1 0.000 0.000 0.500
Tl1 0.500 0.500 0.252

# Pm6SmTl2 PBE optimized geometry
# E: -4.37 eV per atom
# calculated formation energy: -0.150 eV per atom
# E above lowest polymorph: 0 meV per atom
# mass density: 8.1 g cm⁻³
data_Pm6SmTl2
_chemical_formula_sum 'Pm12 Sm2 Tl4'
_space_group_name_H-M_alt 'C 1 2/m 1'
_space_group_IT_number 12
_cell_length_a 13.174
_cell_length_b 3.839
_cell_length_c 12.168
_cell_angle_alpha 90.00
_cell_angle_beta 108.26
_cell_angle_gamma 90.00
loop_
_space_group_symop_operation_xyz
'x,y,z'
'-x,-y,-z'
'-x,y,-z'
'x,-y,z'
'x+1/2,y+1/2,z'
'-x+1/2,-y+1/2,-z'
'-x+1/2,y+1/2,-z'
'x+1/2,-y+1/2,z'
loop_
_atom_site_label
_atom_site_fract_x
_atom_site_fract_y
_atom_site_fract_z
Pm1 0.011 0.000 0.343
Pm2 0.187 0.500 0.875
Pm3 0.192 0.500 0.587
Sm1 0.000 0.000 0.000
Tl1 0.138 0.500 0.206

# Pm4Sm5Tl4 PBE optimized geometry
# E: -4.25 eV per atom
# calculated formation energy: -0.247 eV per atom
# mass density: 8.7 g cm⁻³
data_Pm4Sm5Tl4
_chemical_formula_sum 'Pm8 Sm10 Tl8'
_space_group_name_H-M_alt 'I 4/m'
_space_group_IT_number 87
_space_group_name_Hall '-I 4'
_cell_length_a 12.511
_cell_length_b 12.511
_cell_length_c 5.219
_cell_angle_alpha 90.00
_cell_angle_beta 90.00
_cell_angle_gamma 90.00
loop_
_atom_site_label
_atom_site_fract_x
_atom_site_fract_y
_atom_site_fract_z
Pm1 0.094 0.612 0.000
Sm1 0.000 0.000 0.000
Sm2 0.100 0.812 0.500
Tl1 0.108 0.232 0.000

# Pm2SmTl4 PBE optimized geometry
# E: -3.52 eV per atom
# calculated formation energy: -0.134 eV per atom
# E above lowest polymorph: 104 meV per atom
# mass density: 9.4 g cm⁻³
data_Pm2SmTl4
_chemical_formula_sum 'Pm4 Sm2 Tl8'
_space_group_name_H-M_alt 'I 4/m m m'
_space_group_IT_number 139
_space_group_name_Hall '-I 4 2'
_cell_length_a 5.998
_cell_length_b 5.998
_cell_length_c 12.349
_cell_angle_alpha 90.00
_cell_angle_beta 90.00
_cell_angle_gamma 90.00
loop_
_atom_site_label
_atom_site_fract_x
_atom_site_fract_y
_atom_site_fract_z
Pm1 0.000 0.000 0.145
Sm1 0.000 0.000 0.500
Tl1 0.000 0.500 0.000
Tl2 0.000 0.500 0.250

# PmSm5Tl PBE optimized geometry
# E: -3.65 eV per atom
# calculated formation energy: 0.736 eV per atom
# E above lowest polymorph: 457 meV per atom
# mass density: 6.2 g cm⁻³
data_PmSm5Tl
_chemical_formula_sum 'Pm2 Sm10 Tl2'
_space_group_name_H-M_alt 'I m m 2'
_space_group_IT_number 44
_cell_length_a 8.517
_cell_length_b 11.489
_cell_length_c 6.035
_cell_angle_alpha 90.00
_cell_angle_beta 90.00
_cell_angle_gamma 90.00
loop_
_space_group_symop_operation_xyz
'x,y,z'
'-x,-y,z'
'-x,y,z'
'x,-y,z'
'x+1/2,y+1/2,z+1/2'
'-x+1/2,-y+1/2,z+1/2'
'-x+1/2,y+1/2,z+1/2'
'x+1/2,-y+1/2,z+1/2'
loop_
_atom_site_label
_atom_site_fract_x
_atom_site_fract_y
_atom_site_fract_z
Pm1 0.000 0.000 0.000
Sm1 0.000 0.000 0.522
Sm2 0.000 0.250 0.142
Sm3 0.173 0.500 0.753
Tl1 0.000 0.500 0.281

# Pm2Sm12Tl5 PBE optimized geometry
# E: -4.18 eV per atom
# calculated formation energy: -0.078 eV per atom
# mass density: 8.5 g cm⁻³
data_Pm2Sm12Tl5
_chemical_formula_sum 'Pm4 Sm24 Tl10'
_space_group_name_H-M_alt 'C 1 2/m 1'
_space_group_IT_number 12
_cell_length_a 14.086
_cell_length_b 9.942
_cell_length_c 8.759
_cell_angle_alpha 90.00
_cell_angle_beta 95.92
_cell_angle_gamma 90.00
loop_
_space_group_symop_operation_xyz
'x,y,z'
'-x,-y,-z'
'-x,y,-z'
'x,-y,z'
'x+1/2,y+1/2,z'
'-x+1/2,-y+1/2,-z'
'-x+1/2,y+1/2,-z'
'x+1/2,-y+1/2,z'
loop_
_atom_site_label
_atom_site_fract_x
_atom_site_fract_y
_atom_site_fract_z
Pm1 0.000 0.166 0.000
Sm1 0.087 0.000 0.675
Sm2 0.093 0.500 0.144
Sm3 0.119 0.206 0.369
Sm4 0.153 0.316 0.797
Tl1 0.000 0.500 0.500
Tl2 0.199 0.000 0.010
Tl3 0.220 0.500 0.492

# PmSm4Tl5 PBE optimized geometry
# E: -3.93 eV per atom
# calculated formation energy: -0.381 eV per atom
# mass density: 10.2 g cm⁻³
data_PmSm4Tl5
_chemical_formula_sum 'Pm1 Sm4 Tl5'
_space_group_name_H-M_alt 'P 4/m m m'
_space_group_IT_number 123
_space_group_name_Hall '-P 4 2'
_cell_length_a 3.845
_cell_length_b 3.845
_cell_length_c 19.531
_cell_angle_alpha 90.00
_cell_angle_beta 90.00
_cell_angle_gamma 90.00
loop_
_atom_site_label
_atom_site_fract_x
_atom_site_fract_y
_atom_site_fract_z
Pm1 0.000 0.000 0.000
Sm1 0.000 0.000 0.201
Sm2 0.000 0.000 0.400
Tl1 0.500 0.500 0.101
Tl2 0.500 0.500 0.301
Tl3 0.500 0.500 0.500

# Pm2Sm8Tl PBE optimized geometry
# E: -4.55 eV per atom
# calculated formation energy: -0.038 eV per atom
# E above lowest polymorph: 0 meV per atom
# mass density: 7.8 g cm⁻³
data_Pm2Sm8Tl
_chemical_formula_sum 'Pm4 Sm16 Tl2'
_space_group_name_H-M_alt 'C 1 2/m 1'
_space_group_IT_number 12
_cell_length_a 18.365
_cell_length_b 5.046
_cell_length_c 8.060
_cell_angle_alpha 90.00
_cell_angle_beta 105.37
_cell_angle_gamma 90.00
loop_
_space_group_symop_operation_xyz
'x,y,z'
'-x,-y,-z'
'-x,y,-z'
'x,-y,z'
'x+1/2,y+1/2,z'
'-x+1/2,-y+1/2,-z'
'-x+1/2,y+1/2,-z'
'x+1/2,-y+1/2,z'
loop_
_atom_site_label
_atom_site_fract_x
_atom_site_fract_y
_atom_site_fract_z
Pm1 0.223 0.000 0.135
Sm1 0.044 0.000 0.225
Sm2 0.089 0.500 0.942
Sm3 0.136 0.000 0.678
Sm4 0.179 0.500 0.409
Tl1 0.000 0.500 0.500

# PmSm3Tl4 PBE optimized geometry
# E: -3.79 eV per atom
# calculated formation energy: -0.242 eV per atom
# E above lowest polymorph: 143 meV per atom
# mass density: 9.4 g cm⁻³
data_PmSm3Tl4
_chemical_formula_sum 'Pm2 Sm6 Tl8'
_space_group_name_H-M_alt 'I m m m'
_space_group_IT_number 71
_space_group_name_Hall '-I 2 2'
_cell_length_a 3.607
_cell_length_b 7.329
_cell_length_c 18.851
_cell_angle_alpha 90.00
_cell_angle_beta 90.00
_cell_angle_gamma 90.00
loop_
_atom_site_label
_atom_site_fract_x
_atom_site_fract_y
_atom_site_fract_z
Pm1 0.000 0.000 0.000
Sm1 0.000 0.000 0.500
Sm2 0.000 0.500 0.281
Tl1 0.000 0.286 0.127

# PmSmTl4 PBE optimized geometry
# E: -3.28 eV per atom
# calculated formation energy: -0.122 eV per atom
# E above lowest polymorph: 0 meV per atom
# mass density: 10.7 g cm⁻³
data_PmSmTl4
_chemical_formula_sum 'Pm4 Sm4 Tl16'
_space_group_name_H-M_alt 'F -4 3 m'
_space_group_IT_number 216
_space_group_name_Hall 'F -4 2 3'
_cell_length_a 8.830
_cell_length_b 8.830
_cell_length_c 8.830
_cell_angle_alpha 90.00
_cell_angle_beta 90.00
_cell_angle_gamma 90.00
loop_
_atom_site_label
_atom_site_fract_x
_atom_site_fract_y
_atom_site_fract_z
Pm1 0.000 0.000 0.000
Sm1 0.250 0.250 0.250
Tl1 0.125 0.125 0.625

# Pm2Sm5Tl PBE optimized geometry
# E: -4.42 eV per atom
# calculated formation energy: 0.017 eV per atom
# mass density: 7.9 g cm⁻³
data_Pm2Sm5Tl
_chemical_formula_sum 'Pm4 Sm10 Tl2'
_space_group_name_H-M_alt 'I m m m'
_space_group_IT_number 71
_space_group_name_Hall '-I 2 2'
_cell_length_a 3.510
_cell_length_b 10.331
_cell_length_c 14.534
_cell_angle_alpha 90.00
_cell_angle_beta 90.00
_cell_angle_gamma 90.00
loop_
_atom_site_label
_atom_site_fract_x
_atom_site_fract_y
_atom_site_fract_z
Pm1 0.000 0.000 0.227
Sm1 0.000 0.000 0.000
Sm2 0.000 0.239 0.380
Tl1 0.000 0.500 0.000

# PmSmTl3 PBE optimized geometry
# E: -3.56 eV per atom
# calculated formation energy: -0.247 eV per atom
# mass density: 10.0 g cm⁻³
data_PmSmTl3
_chemical_formula_sum 'Pm8 Sm8 Tl24'
_space_group_name_H-M_alt 'C 1 2/c 1'
_space_group_IT_number 15
_cell_length_a 12.343
_cell_length_b 11.248
_cell_length_c 8.706
_cell_angle_alpha 90.00
_cell_angle_beta 90.01
_cell_angle_gamma 90.00
loop_
_space_group_symop_operation_xyz
'x,y,z'
'-x,-y,-z'
'-x,y,-z+1/2'
'x,-y,z+1/2'
'x+1/2,y+1/2,z'
'-x+1/2,-y+1/2,-z'
'-x+1/2,y+1/2,-z+1/2'
'x+1/2,-y+1/2,z+1/2'
loop_
_atom_site_label
_atom_site_fract_x
_atom_site_fract_y
_atom_site_fract_z
Pm1 0.250 0.091 0.077
Sm1 0.000 0.131 0.750
Sm2 0.000 0.369 0.250
Tl1 0.091 0.116 0.403
Tl2 0.091 0.384 0.597
Tl3 0.250 0.170 0.718

# Pm4Sm4Tl PBE optimized geometry
# E: -4.51 eV per atom
# calculated formation energy: -0.039 eV per atom
# mass density: 7.8 g cm⁻³
data_Pm4Sm4Tl
_chemical_formula_sum 'Pm8 Sm8 Tl2'
_space_group_name_H-M_alt 'I 4/m m m'
_space_group_IT_number 139
_space_group_name_Hall '-I 4 2'
_cell_length_a 10.864
_cell_length_b 10.864
_cell_length_c 5.001
_cell_angle_alpha 90.00
_cell_angle_beta 90.00
_cell_angle_gamma 90.00
loop_
_atom_site_label
_atom_site_fract_x
_atom_site_fract_y
_atom_site_fract_z
Pm1 0.000 0.335 0.000
Sm1 0.161 0.161 0.500
Tl1 0.000 0.000 0.000

# Pm2Sm8Tl PBE optimized geometry
# E: -4.49 eV per atom
# calculated formation energy: 0.025 eV per atom
# E above lowest polymorph: 63 meV per atom
# mass density: 7.5 g cm⁻³
data_Pm2Sm8Tl
_chemical_formula_sum 'Pm4 Sm16 Tl2'
_space_group_name_H-M_alt 'I m m m'
_space_group_IT_number 71
_space_group_name_Hall '-I 2 2'
_cell_length_a 5.565
_cell_length_b 7.715
_cell_length_c 17.476
_cell_angle_alpha 90.00
_cell_angle_beta 90.00
_cell_angle_gamma 90.00
loop_
_atom_site_label
_atom_site_fract_x
_atom_site_fract_y
_atom_site_fract_z
Pm1 0.000 0.000 0.193
Sm1 0.000 0.240 0.000
Sm2 0.000 0.272 0.363
Sm3 0.000 0.500 0.179
Tl1 0.000 0.000 0.500

# PmSmTl4 PBE optimized geometry
# E: -3.18 eV per atom
# calculated formation energy: -0.023 eV per atom
# E above lowest polymorph: 99 meV per atom
# mass density: 9.2 g cm⁻³
data_PmSmTl4
_chemical_formula_sum 'Pm2 Sm2 Tl8'
_space_group_name_H-M_alt 'C 1 2/m 1'
_space_group_IT_number 12
_cell_length_a 7.241
_cell_length_b 7.249
_cell_length_c 7.656
_cell_angle_alpha 90.00
_cell_angle_beta 90.18
_cell_angle_gamma 90.00
loop_
_space_group_symop_operation_xyz
'x,y,z'
'-x,-y,-z'
'-x,y,-z'
'x,-y,z'
'x+1/2,y+1/2,z'
'-x+1/2,-y+1/2,-z'
'-x+1/2,y+1/2,-z'
'x+1/2,-y+1/2,z'
loop_
_atom_site_label
_atom_site_fract_x
_atom_site_fract_y
_atom_site_fract_z
Pm1 0.000 0.000 0.000
Sm1 0.000 0.500 0.500
Tl1 0.250 0.249 0.748

Number 1: magnetization 0.0 μB per formula unit. Number 2: magnetization 0.0 μB per formula unit. Number 3: magnetization 0.0 μB per formula unit. Number 4: magnetization 0.0 μB per formula unit. Number 5: magnetization 0.0 μB per formula unit. Number 6: magnetization 0.0 μB per formula unit. Number 7: magnetization 0.0 μB per formula unit. Number 8: magnetization 0.0 μB per formula unit. Number 9: magnetization 0.0 μB per formula unit. Number 10: magnetization 0.0 μB per formula unit. Number 11: magnetization 0.0 μB per formula unit. Number 12: magnetization 0.0 μB per formula unit. Number 13: magnetization 0.0 μB per formula unit. Number 14: magnetization 0.0 μB per formula unit. Number 15: magnetization 0.2 μB per formula unit. Number 16: magnetization 0.0 μB per formula unit. Number 17: magnetization 0.0 μB per formula unit. Number 18: magnetization 0.0 μB per formula unit. Number 19: magnetization 0.0 μB per formula unit. Number 20: magnetization 0.0 μB per formula unit. Number 21: magnetization 0.0 μB per formula unit.